Version one
! LaTmCo2 GGA-PBE optimized geometry; values from VASP
&SYSTEM
  ibrav = 0, nat = 4, ntyp = 3
/
ATOMIC_SPECIES
La 138.91 La.upf
Tm 168.93 Tm.upf
Co 58.93 Co.upf
CELL_PARAMETERS angstrom
3.395 0.000 0.000
0.000 3.395 0.000
0.000 0.000 6.817
ATOMIC_POSITIONS angstrom
La 0.000 0.000 0.000
Tm 0.000 0.000 3.408
Co 1.698 1.698 1.827
Co 1.698 1.698 4.990
! - size of the total moment (μB per formula unit) = 0.9
! - space-group type = P4/mmm (123)

---

Version two
! LaTmCo2 GGA-PBE optimized geometry; values from VASP
&SYSTEM
  ibrav = 0, nat = 4, ntyp = 3
/
ATOMIC_SPECIES
La 138.91 La.upf
Tm 168.93 Tm.upf
Co 58.93 Co.upf
CELL_PARAMETERS angstrom
0.000 3.399 3.399
3.399 0.000 3.399
3.399 3.399 0.000
ATOMIC_POSITIONS angstrom
La 0.000 0.000 0.000
Tm 3.399 3.399 3.399
Co 1.700 1.700 1.700
Co 5.099 5.099 5.099
! - size of the total moment (μB per formula unit) = 0.6
! - space-group type = Fm-3m (225)

---

Preferred: version one; penalty for the next structure: 0.008 eV/atom.